Record 1
DFT (PBE) results for an optimized crystal structure of AcLaTm.

abc: 3.7677 3.7677 9.1040
angles: 90.00 90.00 120.00
Atoms (fractional coordinates):
Ac 0.0000 0.0000 0.0091
Tm 0.6667 0.3333 0.3375
La 0.3333 0.6667 0.6535

As for the formation energy: 0.2 eV/f.u. For the density, the calculation gives 7.94 g/cm³. As for the symmetry: P3m1 (156). For the density of states at the Fermi level, the calculation gives 5.1 states/eV/cell. Its crystal system is trigonal.

Record 2
DFT (PBE) results for an optimized crystal structure of SmDy2MgRh4.

abc: 4.7650 4.7650 8.2975
angles: 73.31 73.31 60.00
Atoms (fractional coordinates):
Rh 0.3777 0.3777 0.8669
Rh 0.6223 0.6223 0.1331
Rh 0.1254 0.1254 0.6237
Rh 0.8746 0.8746 0.3763
Sm 0.0000 0.0000 0.0000
Dy 0.2438 0.2438 0.2687
Dy 0.7562 0.7562 0.7313
Mg 0.5000 0.5000 0.5000

As for the formation energy: -6.1 eV/f.u. For the density, the calculation gives 9.83 g/cm³. As for the symmetry: R-3m (166). For the density of states at the Fermi level, the calculation gives 2.7 states/eV/cell. Its crystal system is trigonal.

Q: Which of these has the lowest density?
A: AcLaTm

Q: Look up the density of the first one.
A: 7.94 g/cm³